Material: Zn2PBr
Method: DFT, meta-GGA SCAN
State: single point on PBEsol structure

Output
Relative energy among the computed polymorphs = 0 meV/atom
Formation energy without anion corrections = -0.5170 eV per atom
Energy = -117.9 eV for the cell shown

Unit cell a=6.9875 b=6.9875 c=6.9875 alpha=132.36 beta=132.36 gamma=69.66
With the nearest neighbours (Å) after each atom.
Sites, in units of the cell vectors:
Zn  0.0606  0.6250  0.9356  2 P 2.27
Zn  0.3750  0.3106  0.4356  2 P 2.27
Zn  0.6894  0.1250  0.0644  2 P 2.27
Zn  0.8750  0.9394  0.5644  2 P 2.27
P  0.0000  0.0000  0.0000  4 Zn 2.27
P  0.7500  0.2500  0.5000  4 Zn 2.27
Br  0.2500  0.7500  0.5000  4 Zn 2.68
Br  0.5000  0.5000  0.0000  4 Zn 2.68


Material: Cr3MoF
Method: DFT, meta-GGA SCAN
State: single point on PBEsol structure

Output
Formation energy without anion corrections = 0.3942 eV per atom
Energy = -91.6 eV for the cell shown

Unit cell a=3.8653 b=3.8653 c=3.8653 alpha=90.00 beta=90.00 gamma=90.00
With the nearest neighbours (Å) after each atom.
Sites, in units of the cell vectors:
Cr  0.0000  0.0000  0.5000  2 F 1.93
Cr  0.0000  0.5000  0.0000  2 F 1.93
Cr  0.5000  0.0000  0.0000  2 F 1.93
Mo  0.5000  0.5000  0.5000  12 Cr 2.73
F  0.0000  0.0000  0.0000  6 Cr 1.93


Material: LiSi2Rh2
Method: DFT, meta-GGA SCAN
State: single point on PBEsol structure

Output
Relative energy among the computed polymorphs = 0 meV/atom
Formation energy without anion corrections = -0.8588 eV per atom
Energy = -188.5 eV for the cell shown

Unit cell a=6.9776 b=6.9776 c=2.7273 alpha=90.00 beta=90.00 gamma=90.00
With the nearest neighbours (Å) after each atom.
Sites, in units of the cell vectors:
Li  0.0000  0.0000  0.0000  4 Si 2.67, 2 Li 2.73, 8 Rh 2.99
Li  0.5000  0.5000  0.0000  4 Si 2.67, 2 Li 2.73, 8 Rh 2.99
Si  0.1464  0.3536  0.0000  6 Rh 2.44-2.47, 2 Li 2.67, 2 Si 2.73
Si  0.3536  0.8536  0.0000  6 Rh 2.44-2.47, 2 Li 2.67, 2 Si 2.73
Si  0.6464  0.1464  0.0000  6 Rh 2.44-2.47, 2 Li 2.67, 2 Si 2.73
Si  0.8536  0.6464  0.0000  6 Rh 2.44-2.47, 2 Li 2.67, 2 Si 2.73
Rh  0.1490  0.6490  0.5000  6 Si 2.44-2.47, 2 Rh 2.73
Rh  0.3510  0.1490  0.5000  6 Si 2.44-2.47, 2 Rh 2.73
Rh  0.6490  0.8510  0.5000  6 Si 2.44-2.47, 2 Rh 2.73
Rh  0.8510  0.3510  0.5000  6 Si 2.44-2.47, 2 Rh 2.73


Material: Sr2SbPb
Method: DFT, meta-GGA SCAN
State: single point on PBEsol structure

Output
Relative energy among the computed polymorphs = 144 meV/atom
Formation energy without anion corrections = -0.6953 eV per atom
Energy = -160.4 eV for the cell shown

Unit cell a=6.7127 b=6.7127 c=6.7127 alpha=138.74 beta=138.74 gamma=59.77
With the nearest neighbours (Å) after each atom.
Sites, in units of the cell vectors:
Sr  0.0000  0.0000  0.0000  4 Pb 3.34
Sr  0.7500  0.2500  0.5000  4 Sb 3.34
Sb  0.2500  0.7500  0.5000  4 Sr 3.34
Pb  0.5000  0.5000  0.0000  4 Sr 3.34


Material: Ta2Ru
Method: DFT, meta-GGA SCAN
State: single point on PBEsol structure

Output
Energy = -169.0 eV for the cell shown

Unit cell a=5.3153 b=5.3153 c=5.3153 alpha=145.26 beta=145.26 gamma=49.94
With the nearest neighbours (Å) after each atom.
Sites, in units of the cell vectors:
Ta  0.1626  0.1626  0.0000  4 Ru 2.74, 4 Ta 2.81
Ta  0.8374  0.8374  0.0000  4 Ru 2.74, 4 Ta 2.81
Ru  0.5000  0.5000  0.0000  8 Ta 2.74


Material: Cr2CoSi
Method: DFT, meta-GGA SCAN
State: single point on PBEsol structure

Output
Formation energy without anion corrections = -0.3308 eV per atom
Energy = -65.4 eV for the cell shown

Unit cell a=2.9066 b=3.7414 c=4.0080 alpha=90.00 beta=90.00 gamma=90.00
With the nearest neighbours (Å) after each atom.
Sites, in units of the cell vectors:
Cr  0.0000  0.0000  0.0000  4 Cr 2.37, 4 Si 2.48
Cr  0.5000  0.5000  0.0000  4 Cr 2.37, 4 Co 2.48
Co  0.0000  0.5000  0.5000  4 Si 2.37, 4 Cr 2.48
Si  0.5000  0.0000  0.5000  4 Co 2.37, 4 Cr 2.48


Material: TaAl2Tc
Method: DFT, meta-GGA SCAN
State: single point on PBEsol structure

Output
Relative energy among the computed polymorphs = 339 meV/atom
Energy = -117.6 eV for the cell shown

Unit cell a=2.7694 b=2.7694 c=8.6957 alpha=90.00 beta=90.00 gamma=110.08
With the nearest neighbours (Å) after each atom.
Sites, in units of the cell vectors:
Ta  0.0000  0.0000  0.0000  2 Tc 2.66, 2 Al 2.75, 4 Ta 2.77
Al  0.0000  0.0000  0.4778  2 Tc 2.57, 6 Al 2.77-2.79
Al  0.5000  0.5000  0.7420  2 Ta 2.75, 6 Al 2.77-2.79
Tc  0.5000  0.5000  0.2460  2 Al 2.57, 2 Ta 2.66, 4 Tc 2.77


Material: HfAs2N
Method: DFT, meta-GGA SCAN
State: single point on PBEsol structure

Output
Formation energy without anion corrections = 0.3306 eV per atom
Energy = -222.0 eV for the cell shown

Unit cell a=5.5998 b=5.5998 c=5.5998 alpha=115.39 beta=115.39 gamma=98.19
With the nearest neighbours (Å) after each atom.
Sites, in units of the cell vectors:
Hf  0.0000  0.0000  0.0000  4 As 2.67
Hf  0.7500  0.2500  0.5000  4 As 2.67
As  0.2121  0.6250  0.0871  2 N 2.01
As  0.3750  0.4621  0.5871  2 N 2.01
As  0.5379  0.1250  0.9129  2 N 2.01
As  0.8750  0.7879  0.4129  2 N 2.01
N  0.2500  0.7500  0.5000  4 As 2.01
N  0.5000  0.5000  0.0000  4 As 2.01


Material: SrMg2Si
Method: DFT, meta-GGA SCAN
State: single point on PBEsol structure

Output
Formation energy without anion corrections = -0.0488 eV per atom
Energy = -42.4 eV for the cell shown

Unit cell a=3.5984 b=3.5984 c=7.6075 alpha=90.00 beta=90.00 gamma=90.00
With the nearest neighbours (Å) after each atom.
Sites, in units of the cell vectors:
Sr  0.0000  0.0000  0.0000  4 Si 3.29, 5 Mg 3.32-3.60, 4 Sr 3.60
Mg  0.0000  0.0000  0.5630  4 Si 2.83, 4 Mg 3.08
Mg  0.5000  0.5000  0.3356  1 Si 2.96, 4 Mg 3.08
Si  0.5000  0.5000  0.7249  5 Mg 2.83-2.96


Material: TiBSN2
Method: DFT, meta-GGA SCAN
State: single point on PBEsol structure

Output
Relative energy among the computed polymorphs = 569 meV/atom
Formation energy without anion corrections = 1.0739 eV per atom
Energy = -46.3 eV for the cell shown

Unit cell a=3.7043 b=3.7043 c=5.1404 alpha=90.00 beta=90.00 gamma=90.00
With the nearest neighbours (Å) after each atom.
Sites, in units of the cell vectors:
Ti  0.0000  0.0000  0.0000  4 N 1.85
B  0.5000  0.5000  0.5000  4 S 2.62
S  0.0000  0.0000  0.5000  2 Ti 2.57, 4 B 2.62
N  0.0000  0.5000  0.0000  2 Ti 1.85
N  0.5000  0.0000  0.0000  2 Ti 1.85


Material: CsDyO2
Method: DFT, meta-GGA SCAN
State: single point on PBEsol structure

Output
Formation energy without anion corrections = -2.9202 eV per atom
Energy = -219.5 eV for the cell shown

Unit cell a=3.5039 b=3.5039 c=13.4893 alpha=90.00 beta=90.00 gamma=120.00
With the nearest neighbours (Å) after each atom.
Sites, in units of the cell vectors:
Cs  0.3333  0.6667  0.2500  6 O 3.03
Cs  0.6667  0.3333  0.7500  6 O 3.03
Dy  0.0000  0.0000  0.0000  6 O 2.31
Dy  0.0000  0.0000  0.5000  6 O 2.31
O  0.3333  0.6667  0.5830  3 Dy 2.31
O  0.3333  0.6667  0.9170  3 Dy 2.31
O  0.6667  0.3333  0.0830  3 Dy 2.31
O  0.6667  0.3333  0.4170  3 Dy 2.31


Material: Y2Zn2Ga
Method: DFT, meta-GGA SCAN
State: single point on PBEsol structure

Output
Energy = -203.4 eV for the cell shown

Unit cell a=6.8387 b=6.8387 c=4.3857 alpha=90.00 beta=90.00 gamma=90.00
With the nearest neighbours (Å) after each atom.
Sites, in units of the cell vectors:
Y  0.1750  0.3250  0.0000  6 Zn 2.91-3.03
Y  0.3250  0.8250  0.0000  6 Zn 2.91-3.03
Y  0.6750  0.1750  0.0000  6 Zn 2.91-3.03
Y  0.8250  0.6750  0.0000  6 Zn 2.91-3.03
Zn  0.1278  0.6278  0.5000  1 Zn 2.47, 2 Ga 2.69
Zn  0.3722  0.1278  0.5000  1 Zn 2.47, 2 Ga 2.69
Zn  0.6278  0.8722  0.5000  1 Zn 2.47, 2 Ga 2.69
Zn  0.8722  0.3722  0.5000  1 Zn 2.47, 2 Ga 2.69
Ga  0.0000  0.0000  0.5000  4 Zn 2.69
Ga  0.5000  0.5000  0.5000  4 Zn 2.69


Material: YTmTl2
Method: DFT, meta-GGA SCAN
State: single point on PBEsol structure

Output
Energy = -226.6 eV for the cell shown

Unit cell a=5.2411 b=5.2411 c=5.2411 alpha=60.00 beta=60.00 gamma=60.00
With the nearest neighbours (Å) after each atom.
Sites, in units of the cell vectors:
Y  0.0000  0.0000  0.0000  8 Tl 3.21
Tm  0.5000  0.5000  0.5000  8 Tl 3.21
Tl  0.2500  0.2500  0.2500  4 Tm 3.21, 4 Y 3.21
Tl  0.7500  0.7500  0.7500  4 Tm 3.21, 4 Y 3.21


Material: LaSc2
Method: DFT, meta-GGA SCAN
State: single point on PBEsol structure

Output
Relative energy among the computed polymorphs = 37 meV/atom
Energy = -142.5 eV for the cell shown

Unit cell a=6.3042 b=6.3042 c=7.9805 alpha=103.47 beta=103.47 gamma=31.48
With the nearest neighbours (Å) after each atom.
Sites, in units of the cell vectors:
La  0.0000  0.0000  0.0000  8 Sc 3.28-3.48, 4 La 3.32-3.42
La  0.6530  0.6530  0.3328  8 Sc 3.30-3.60, 4 La 3.32-3.42
Sc  0.0422  0.0422  0.6096  9 Sc 3.22-3.43, 3 La 3.28-3.32
Sc  0.3266  0.3266  0.6564  8 Sc 3.20-3.42, 4 La 3.38-3.48
Sc  0.3727  0.3727  0.2717  7 Sc 3.25-3.43, 5 La 3.30-3.41
Sc  0.7222  0.7222  0.9193  8 Sc 3.20-3.42, 3 La 3.28-3.38


Material: CoBi2As
Method: DFT, meta-GGA SCAN
State: single point on PBEsol structure

Output
Energy = -385.4 eV for the cell shown

Unit cell a=7.3931 b=7.3931 c=7.3931 alpha=131.11 beta=131.11 gamma=71.64
With the nearest neighbours (Å) after each atom.
Sites, in units of the cell vectors:
Co  0.0000  0.0000  0.0000  4 Bi 2.47
Co  0.7500  0.2500  0.5000  4 Bi 2.47
Bi  0.0760  0.6250  0.9510  2 Co 2.47
Bi  0.3750  0.3260  0.4510  2 Co 2.47
Bi  0.6740  0.1250  0.0490  2 Co 2.47
Bi  0.8750  0.9240  0.5490  2 Co 2.47
As  0.2500  0.7500  0.5000  4 Bi 2.82
As  0.5000  0.5000  0.0000  4 Bi 2.82


Material: MgTe2IN
Method: DFT, meta-GGA SCAN
State: single point on PBEsol structure

Output
Formation energy without anion corrections = 0.6058 eV per atom
Energy = -122.5 eV for the cell shown

Unit cell a=5.7205 b=5.7205 c=3.8909 alpha=90.00 beta=90.00 gamma=90.00
With the nearest neighbours (Å) after each atom.
Sites, in units of the cell vectors:
Mg  0.0000  0.0000  0.0000  2 N 1.95
Te  0.0000  0.5000  0.0000  2 Mg 2.86
Te  0.5000  0.0000  0.0000  2 Mg 2.86
I  0.5000  0.5000  0.5000  8 Te 3.46
N  0.0000  0.0000  0.5000  2 Mg 1.95


Material: MnOsW2
Method: DFT, meta-GGA SCAN
State: single point on PBEsol structure

Output
Relative energy among the computed polymorphs = 0 meV/atom
Energy = -229.6 eV for the cell shown

Unit cell a=4.3369 b=4.3369 c=4.3369 alpha=60.00 beta=60.00 gamma=60.00
With the nearest neighbours (Å) after each atom.
Sites, in units of the cell vectors:
Mn  0.0000  0.0000  0.0000  4 W 2.66, 4 Os 2.66
Os  0.2500  0.2500  0.2500  4 W 2.66, 4 Mn 2.66
W  0.5000  0.5000  0.5000  4 Os 2.66, 4 W 2.66
W  0.7500  0.7500  0.7500  4 W 2.66, 4 Mn 2.66


Material: CsZnPt3
Method: DFT, meta-GGA SCAN
State: single point on PBEsol structure

Output
Energy = -258.9 eV for the cell shown

Unit cell a=4.7600 b=4.7600 c=4.7600 alpha=90.00 beta=90.00 gamma=90.00
With the nearest neighbours (Å) after each atom.
Sites, in units of the cell vectors:
Cs  0.0000  0.0000  0.0000  12 Pt 3.37
Zn  0.5000  0.5000  0.5000  6 Pt 2.38
Pt  0.0000  0.5000  0.5000  2 Zn 2.38
Pt  0.5000  0.0000  0.5000  2 Zn 2.38
Pt  0.5000  0.5000  0.0000  2 Zn 2.38


Material: Ta2Co2Ir
Method: DFT, meta-GGA SCAN
State: single point on PBEsol structure

Output
Energy = -481.3 eV for the cell shown

Unit cell a=6.7344 b=6.7344 c=3.0072 alpha=90.00 beta=90.00 gamma=90.00
With the nearest neighbours (Å) after each atom.
Sites, in units of the cell vectors:
Ta  0.1762  0.3238  0.0000  6 Co 2.41-2.55
Ta  0.3238  0.8238  0.0000  6 Co 2.41-2.55
Ta  0.6762  0.1762  0.0000  6 Co 2.41-2.55
Ta  0.8238  0.6762  0.0000  6 Co 2.41-2.55
Co  0.1254  0.6254  0.5000  1 Co 2.39, 6 Ta 2.41-2.55, 2 Ir 2.66
Co  0.3746  0.1254  0.5000  1 Co 2.39, 6 Ta 2.41-2.55, 2 Ir 2.66
Co  0.6254  0.8746  0.5000  1 Co 2.39, 6 Ta 2.41-2.55, 2 Ir 2.66
Co  0.8746  0.3746  0.5000  1 Co 2.39, 6 Ta 2.41-2.55, 2 Ir 2.66
Ir  0.0000  0.0000  0.5000  4 Co 2.66, 8 Ta 2.90
Ir  0.5000  0.5000  0.5000  4 Co 2.66, 8 Ta 2.90


Material: BaSr2Ca
Method: DFT, meta-GGA SCAN
State: single point on PBEsol structure

Output
Relative energy among the computed polymorphs = 0 meV/atom
Energy = -93.7 eV for the cell shown

Unit cell a=4.2456 b=5.6336 c=8.4866 alpha=90.00 beta=90.00 gamma=90.00
With the nearest neighbours (Å) after each atom.
Sites, in units of the cell vectors:
Ba  0.0000  0.0000  0.0000  4 Ca 4.10, 6 Sr 4.11-4.38, 2 Ba 4.25
Sr  0.0000  0.0000  0.4839  4 Ca 4.06, 2 Ba 4.11-4.38, 6 Sr 4.12-4.25
Sr  0.5000  0.5000  0.7354  6 Sr 4.12-4.25, 2 Ca 4.15-4.34, 4 Ba 4.18
Ca  0.5000  0.5000  0.2470  6 Sr 4.06-4.34, 4 Ba 4.10, 2 Ca 4.25